[1]
{
  "formula": "Zn3Te",
  "functional": "PBE-GGA",
  "state": "optimized geometry",
  "e_tot_ev_per_atom": -1.6717,
  "raw_formation_energy_ev_per_atom": 0.07,
  "magmom_total_mub_per_cell": 0.0,
  "lattice_angstrom": [[8.3649, -3.9644, 6.0577], [6.2857, 0.1107, 9.1029], [-9.0404, 0.1507, -6.3744]],
  "species": ["Zn", "Zn", "Zn", "Te", "Zn", "Zn", "Zn", "Te"],
  "fractional_positions": [[0.5000, 0.0000, 0.5000], [0.0000, 0.5000, 0.5000], [0.2500, 0.7500, 0.5000], [0.6093, 0.6093, 0.0000], [0.1593, 0.1593, 0.0000], [0.7500, 0.2500, 0.5000], [0.8407, 0.8407, 0.0000], [0.3907, 0.3907, 0.0000]]
}

[2]
{
  "formula": "Zn3Te",
  "functional": "PBE-GGA",
  "state": "optimized geometry",
  "e_tot_ev_per_atom": -1.5609,
  "raw_formation_energy_ev_per_atom": 0.18,
  "magmom_total_mub_per_cell": 0.0,
  "lattice_angstrom": [[-4.8725, -0.8498, 1.4143], [1.2792, -2.3346, -4.4019], [3.3884, -0.7982, 3.7876]],
  "species": ["Zn", "Zn", "Zn", "Te"],
  "fractional_positions": [[0.5000, 0.5000, 0.0000], [0.0000, 0.5000, 0.5000], [0.5000, 0.0000, 0.5000], [0.0000, 0.0000, 0.0000]]
}

[3]
{
  "formula": "Zn3Te",
  "functional": "PBE-GGA",
  "state": "optimized geometry",
  "e_tot_ev_per_atom": -1.5814,
  "raw_formation_energy_ev_per_atom": 0.16,
  "magmom_total_mub_per_cell": 0.0,
  "lattice_angstrom": [[4.7813, 0.0908, 0.0000], [-1.7181, 4.4628, 0.0000], [0.0000, 0.0000, 3.8097]],
  "species": ["Zn", "Zn", "Te", "Zn"],
  "fractional_positions": [[0.0000, 0.5000, 0.5000], [0.5000, 0.5000, 0.0000], [0.0000, 0.0000, 0.0000], [0.5000, 0.0000, 0.5000]]
}

[4]
{
  "formula": "Zn4Te",
  "functional": "PBE-GGA",
  "state": "optimized geometry",
  "e_tot_ev_per_atom": -1.5657,
  "raw_formation_energy_ev_per_atom": 0.08,
  "magmom_total_mub_per_cell": 0.0,
  "lattice_angstrom": [[-0.9040, -6.4761, -1.8147], [-2.9258, -5.2057, 3.2235], [-0.5356, 6.5054, -1.8553]],
  "species": ["Zn", "Zn", "Te", "Zn", "Zn"],
  "fractional_positions": [[0.2500, 0.7500, 0.5000], [0.6037, 0.6037, 0.0000], [0.0000, 0.0000, 0.0000], [0.3963, 0.3963, 0.0000], [0.7500, 0.2500, 0.5000]]
}

[5]
{
  "formula": "Zn3Te5",
  "functional": "PBE-GGA",
  "state": "optimized geometry",
  "e_tot_ev_per_atom": -2.4759,
  "raw_formation_energy_ev_per_atom": -0.03,
  "magmom_total_mub_per_cell": 0.0,
  "lattice_angstrom": [[11.4960, -0.0369, -0.0163], [6.2103, 6.9023, 0.0034], [5.3139, -2.6005, 6.4109]],
  "species": ["Te", "Zn", "Te", "Zn", "Zn", "Te", "Zn", "Zn", "Te", "Zn", "Te", "Te", "Te", "Te", "Te", "Te"],
  "fractional_positions": [[0.3799, 0.6338, 0.3663], [0.7494, 0.2495, 0.2503], [0.1712, 0.1634, 0.8359], [0.8942, 0.6056, 0.3939], [0.6235, 0.1246, 0.8765], [0.3366, 0.3279, 0.6710], [0.3766, 0.8750, 0.1235], [0.2497, 0.7491, 0.7508], [0.8290, 0.8354, 0.1635], [0.1060, 0.3940, 0.6059], [0.1337, 0.8799, 0.1203], [0.8663, 0.1195, 0.8799], [0.7354, 0.7649, 0.7645], [0.6200, 0.3658, 0.6338], [0.2648, 0.2346, 0.2353], [0.6640, 0.6705, 0.3288]]
}

[6]
{
  "formula": "Zn3Te4",
  "functional": "PBE-GGA",
  "state": "optimized geometry",
  "e_tot_ev_per_atom": -2.3608,
  "raw_formation_energy_ev_per_atom": -0.02,
  "magmom_total_mub_per_cell": 0.0,
  "lattice_angstrom": [[-1.4025, -6.2606, 10.7148], [-4.5223, -1.8119, 11.4994], [0.8046, 2.7095, -12.1647]],
  "species": ["Zn", "Zn", "Te", "Te", "Te", "Zn", "Te"],
  "fractional_positions": [[0.7079, 0.7079, 0.0000], [0.2921, 0.2921, 0.0000], [0.5578, 0.5578, 0.0000], [0.4422, 0.4422, 0.0000], [0.8215, 0.8215, 0.0000], [0.0000, 0.0000, 0.0000], [0.1785, 0.1785, 0.0000]]
}

[7]
{
  "formula": "Zn3Te",
  "functional": "PBE-GGA",
  "state": "optimized geometry",
  "e_tot_ev_per_atom": -1.5931,
  "raw_formation_energy_ev_per_atom": 0.15,
  "magmom_total_mub_per_cell": 0.0,
  "lattice_angstrom": [[3.8385, 0.0000, 0.0000], [0.0000, 3.8385, 0.0000], [0.0000, 0.0000, 5.4862]],
  "species": ["Zn", "Zn", "Te", "Zn"],
  "fractional_positions": [[0.0000, 0.0000, 0.5000], [0.5000, 0.5000, 0.2686], [0.0000, 0.0000, 0.0000], [0.5000, 0.5000, 0.7314]]
}

[8]
{
  "formula": "Zn3Te",
  "functional": "PBE-GGA",
  "state": "optimized geometry",
  "e_tot_ev_per_atom": -1.6009,
  "raw_formation_energy_ev_per_atom": 0.14,
  "magmom_total_mub_per_cell": 0.0,
  "lattice_angstrom": [[-3.3662, -1.5932, 6.7802], [-4.6320, -4.1573, 4.5937], [-1.3910, -4.5283, 6.1156]],
  "species": ["Zn", "Te", "Zn", "Zn"],
  "fractional_positions": [[0.7554, 0.7554, 0.7554], [0.0000, 0.0000, 0.0000], [0.2446, 0.2446, 0.2446], [0.5000, 0.5000, 0.5000]]
}

[9]
{
  "formula": "ZnTe4",
  "functional": "PBE-GGA",
  "state": "optimized geometry",
  "e_tot_ev_per_atom": -2.5829,
  "raw_formation_energy_ev_per_atom": 0.19,
  "magmom_total_mub_per_cell": 0.0,
  "lattice_angstrom": [[-2.6603, -4.1752, -3.1021], [-2.3570, 0.2597, 5.3395], [-0.6766, 5.1472, -2.6798]],
  "species": ["Te", "Zn", "Te", "Te", "Te"],
  "fractional_positions": [[0.5000, 0.0000, 0.0000], [0.0000, 0.0000, 0.0000], [0.0000, 0.5000, 0.0000], [0.5000, 0.5000, 0.5000], [0.0000, 0.0000, 0.5000]]
}

[10]
{
  "formula": "ZnTe4",
  "functional": "PBE-GGA",
  "state": "optimized geometry",
  "e_tot_ev_per_atom": -2.3667,
  "raw_formation_energy_ev_per_atom": 0.40,
  "magmom_total_mub_per_cell": 0.0,
  "lattice_angstrom": [[-3.8653, 2.4985, -2.6024], [-2.8724, 0.1762, 4.4355], [2.1828, 4.6563, 1.2285]],
  "species": ["Te", "Te", "Te", "Zn", "Te"],
  "fractional_positions": [[0.0000, 0.0000, 0.0000], [0.5000, 0.5000, 0.0000], [0.5000, 0.0000, 0.5000], [0.5000, 0.5000, 0.5000], [0.0000, 0.5000, 0.5000]]
}

[11]
{
  "formula": "Zn3Te4",
  "functional": "PBE-GGA",
  "state": "optimized geometry",
  "e_tot_ev_per_atom": -2.1968,
  "raw_formation_energy_ev_per_atom": 0.14,
  "magmom_total_mub_per_cell": 0.0,
  "lattice_angstrom": [[-3.1389, 2.9464, 2.6564], [-0.0383, -5.0105, 0.6955], [5.7929, 0.7850, 5.9744]],
  "species": ["Zn", "Te", "Te", "Te", "Te", "Zn", "Zn"],
  "fractional_positions": [[0.5000, 0.5000, 0.0000], [0.0000, 0.0000, 0.7839], [0.6667, 0.3333, 0.5000], [0.3333, 0.6667, 0.5000], [0.0000, 0.0000, 0.2161], [0.0000, 0.5000, 0.0000], [0.5000, 0.0000, 0.0000]]
}

[12]
{
  "formula": "Zn3Te",
  "functional": "PBE-GGA",
  "state": "optimized geometry",
  "e_tot_ev_per_atom": -1.7575,
  "raw_formation_energy_ev_per_atom": -0.02,
  "magmom_total_mub_per_cell": 0.0,
  "lattice_angstrom": [[-2.6301, 3.2482, -1.3459], [-1.9286, 0.4350, 4.8185], [5.6533, 5.3163, 1.7828]],
  "species": ["Zn", "Zn", "Zn", "Te", "Te", "Zn", "Zn", "Zn"],
  "fractional_positions": [[0.5000, 0.8783, 0.7290], [0.0000, 0.1217, 0.7710], [0.0000, 0.8711, 0.5000], [0.0000, 0.4979, 0.0000], [0.5000, 0.5021, 0.5000], [0.5000, 0.1289, 0.0000], [0.0000, 0.1217, 0.2290], [0.5000, 0.8783, 0.2710]]
}

[13]
{
  "formula": "ZnTe4",
  "functional": "PBE-GGA",
  "state": "optimized geometry",
  "e_tot_ev_per_atom": -2.5389,
  "raw_formation_energy_ev_per_atom": 0.23,
  "magmom_total_mub_per_cell": 0.0,
  "lattice_angstrom": [[-2.0722, 2.0722, 9.8815], [2.0722, -2.0722, 9.8815], [2.0722, 2.0722, -9.8815]],
  "species": ["Te", "Te", "Zn", "Te", "Te"],
  "fractional_positions": [[0.4303, 0.4303, 0.0000], [0.2500, 0.7500, 0.5000], [0.0000, 0.0000, 0.0000], [0.7500, 0.2500, 0.5000], [0.5697, 0.5697, 0.0000]]
}

[14]
{
  "formula": "Zn4Te",
  "functional": "PBE-GGA",
  "state": "optimized geometry",
  "e_tot_ev_per_atom": -1.4744,
  "raw_formation_energy_ev_per_atom": 0.17,
  "magmom_total_mub_per_cell": 0.0,
  "lattice_angstrom": [[0.7399, -3.5106, -3.8325], [2.9314, 1.8011, 3.9652], [-3.5676, -2.6419, 2.8022]],
  "species": ["Zn", "Zn", "Zn", "Te", "Zn"],
  "fractional_positions": [[0.8219, 0.4043, 0.2261], [0.5957, 0.8219, 0.4176], [0.4043, 0.1781, 0.5824], [0.0000, 0.0000, 0.0000], [0.1781, 0.5957, 0.7739]]
}

[15]
{
  "formula": "Zn4Te",
  "functional": "PBE-GGA",
  "state": "optimized geometry",
  "e_tot_ev_per_atom": -1.5809,
  "raw_formation_energy_ev_per_atom": 0.07,
  "magmom_total_mub_per_cell": 0.0,
  "lattice_angstrom": [[-3.6324, 0.0748, 1.8676], [-2.9649, -2.5134, -1.2569], [-2.1410, -6.7243, 5.1127]],
  "species": ["Zn", "Zn", "Zn", "Te", "Zn"],
  "fractional_positions": [[0.4903, 0.4903, 0.7677], [0.7245, 0.7245, 0.4134], [0.2755, 0.2755, 0.5866], [0.0000, 0.0000, 0.0000], [0.5097, 0.5097, 0.2323]]
}

[16]
{
  "formula": "ZnTe5",
  "functional": "PBE-GGA",
  "state": "optimized geometry",
  "e_tot_ev_per_atom": -2.3210,
  "raw_formation_energy_ev_per_atom": 0.51,
  "magmom_total_mub_per_cell": 0.0,
  "lattice_angstrom": [[0.0000, 4.4911, 4.4911], [4.4911, 0.0000, 4.4911], [4.4911, 4.4911, 0.0000]],
  "species": ["Te", "Te", "Te", "Te", "Te", "Zn"],
  "fractional_positions": [[0.6227, 0.1320, 0.6227], [0.6227, 0.6227, 0.6227], [0.1320, 0.6227, 0.6227], [0.6227, 0.6227, 0.1320], [0.2500, 0.2500, 0.2500], [0.0000, 0.0000, 0.0000]]
}

[17]
{
  "formula": "ZnTe5",
  "functional": "PBE-GGA",
  "state": "optimized geometry",
  "e_tot_ev_per_atom": -2.8276,
  "raw_formation_energy_ev_per_atom": 0.00,
  "magmom_total_mub_per_cell": 0.0,
  "lattice_angstrom": [[2.1531, 8.0916, 0.3015], [-2.1531, 8.0916, 0.3015], [0.0000, 2.2814, 7.6590]],
  "species": ["Te", "Te", "Te", "Te", "Zn", "Te"],
  "fractional_positions": [[0.9112, 0.9112, 0.2935], [0.2777, 0.2777, 0.7422], [0.7429, 0.7429, 0.2737], [0.6366, 0.6366, 0.8580], [0.2681, 0.2681, 0.0673], [0.9970, 0.9970, 0.9319]]
}

[18]
{
  "formula": "Zn3Te4",
  "functional": "PBE-GGA",
  "state": "optimized geometry",
  "e_tot_ev_per_atom": -2.5500,
  "raw_formation_energy_ev_per_atom": -0.21,
  "magmom_total_mub_per_cell": 0.0,
  "lattice_angstrom": [[-1.0636, -5.8259, 0.6779], [1.5412, -0.9423, -5.6805], [5.6591, -0.8383, 1.6745]],
  "species": ["Zn", "Zn", "Te", "Te", "Te", "Zn", "Te"],
  "fractional_positions": [[0.0000, 0.5000, 0.5000], [0.5000, 0.5000, 0.0000], [0.7676, 0.2324, 0.2324], [0.2324, 0.7676, 0.2324], [0.2324, 0.2324, 0.7676], [0.5000, 0.0000, 0.5000], [0.7676, 0.7676, 0.7676]]
}

[19]
{
  "formula": "ZnTe5",
  "functional": "PBE-GGA",
  "state": "optimized geometry",
  "e_tot_ev_per_atom": -2.5595,
  "raw_formation_energy_ev_per_atom": 0.27,
  "magmom_total_mub_per_cell": 0.0,
  "lattice_angstrom": [[-0.0322, 3.6700, -0.4647], [-3.4700, 0.1311, 1.2758], [4.1590, 1.4501, 11.1630]],
  "species": ["Te", "Zn", "Te", "Te", "Te", "Te"],
  "fractional_positions": [[0.5000, 0.5000, 0.3355], [0.5000, 0.5000, 0.0000], [0.0000, 0.0000, 0.5000], [0.5000, 0.5000, 0.6645], [0.0000, 0.0000, 0.1245], [0.0000, 0.0000, 0.8755]]
}

[20]
{
  "formula": "Zn3Te",
  "functional": "PBE-GGA",
  "state": "optimized geometry",
  "e_tot_ev_per_atom": -1.6393,
  "raw_formation_energy_ev_per_atom": 0.10,
  "magmom_total_mub_per_cell": 0.0,
  "lattice_angstrom": [[3.9033, 0.0000, 0.0000], [0.0000, 4.0460, -0.0473], [0.0000, 1.8271, 5.3494]],
  "species": ["Zn", "Zn", "Te", "Zn"],
  "fractional_positions": [[0.5000, 0.7659, 0.7189], [0.5000, 0.2341, 0.2811], [0.0000, 0.0000, 0.0000], [0.0000, 0.5000, 0.5000]]
}

[21]
{
  "formula": "Zn3Te",
  "functional": "PBE-GGA",
  "state": "optimized geometry",
  "e_tot_ev_per_atom": -1.6891,
  "raw_formation_energy_ev_per_atom": 0.05,
  "magmom_total_mub_per_cell": 0.0,
  "lattice_angstrom": [[4.1327, 0.0000, 0.0000], [-2.0663, 3.5790, 0.0000], [0.0000, 0.0000, 5.9771]],
  "species": ["Zn", "Te", "Zn", "Zn"],
  "fractional_positions": [[0.6667, 0.3333, 0.2855], [0.0000, 0.0000, 0.0000], [0.6667, 0.3333, 0.7145], [0.0000, 0.0000, 0.5000]]
}

[22]
{
  "formula": "ZnTe5",
  "functional": "PBE-GGA",
  "state": "optimized geometry",
  "e_tot_ev_per_atom": -2.6836,
  "raw_formation_energy_ev_per_atom": 0.15,
  "magmom_total_mub_per_cell": 0.0,
  "lattice_angstrom": [[3.5413, -6.1337, 0.0000], [3.5413, 6.1337, 0.0000], [0.0000, 0.0000, 4.0471]],
  "species": ["Te", "Te", "Zn", "Te", "Te", "Te"],
  "fractional_positions": [[0.3333, 0.6667, 0.5000], [0.7041, 0.0000, 0.0000], [0.0000, 0.0000, 0.5000], [0.2959, 0.2959, 0.0000], [0.0000, 0.7041, 0.0000], [0.6667, 0.3333, 0.5000]]
}

[23]
{
  "formula": "Zn4Te",
  "functional": "PBE-GGA",
  "state": "optimized geometry",
  "e_tot_ev_per_atom": -1.0405,
  "raw_formation_energy_ev_per_atom": 0.61,
  "magmom_total_mub_per_cell": 0.0,
  "lattice_angstrom": [[5.3574, 0.0000, 0.0000], [0.0000, 5.3574, 0.0000], [0.0000, 0.0000, 5.3574]],
  "species": ["Te", "Zn", "Zn", "Zn", "Zn"],
  "fractional_positions": [[0.5000, 0.5000, 0.5000], [0.0000, 0.0000, 0.0000], [0.5000, 0.5000, 0.0000], [0.0000, 0.5000, 0.5000], [0.5000, 0.0000, 0.5000]]
}

[24]
{
  "formula": "Zn3Te4",
  "functional": "PBE-GGA",
  "state": "optimized geometry",
  "e_tot_ev_per_atom": -2.3507,
  "raw_formation_energy_ev_per_atom": -0.01,
  "magmom_total_mub_per_cell": 0.0,
  "lattice_angstrom": [[5.6681, 0.0000, 0.0000], [0.0000, 5.6681, 0.0000], [0.0000, 0.0000, 5.6681]],
  "species": ["Zn", "Zn", "Te", "Te", "Zn", "Te", "Te"],
  "fractional_positions": [[0.5000, 0.0000, 0.0000], [0.0000, 0.5000, 0.0000], [0.5000, 0.5000, 0.0000], [0.5000, 0.0000, 0.5000], [0.0000, 0.0000, 0.5000], [0.0000, 0.5000, 0.5000], [0.0000, 0.0000, 0.0000]]
}

[25]
{
  "formula": "Zn6Te",
  "functional": "PBE-GGA",
  "state": "optimized geometry",
  "e_tot_ev_per_atom": -1.1095,
  "raw_formation_energy_ev_per_atom": 0.43,
  "magmom_total_mub_per_cell": 0.0,
  "lattice_angstrom": [[-1.3738, -4.7968, 3.5130], [-1.1137, -1.3711, -5.8410], [5.9036, 1.3899, 0.6732]],
  "species": ["Zn", "Zn", "Zn", "Zn", "Zn", "Zn", "Te"],
  "fractional_positions": [[0.5000, 0.7500, 0.2500], [0.5000, 0.2500, 0.7500], [0.2500, 0.5000, 0.7500], [0.7500, 0.2500, 0.5000], [0.2500, 0.7500, 0.5000], [0.7500, 0.5000, 0.2500], [0.0000, 0.0000, 0.0000]]
}

[26]
{
  "formula": "Zn7Te6",
  "functional": "PBE-GGA",
  "state": "optimized geometry",
  "e_tot_ev_per_atom": -2.1145,
  "raw_formation_energy_ev_per_atom": 0.02,
  "magmom_total_mub_per_cell": 0.0,
  "lattice_angstrom": [[9.6456, 0.0029, 0.0018], [7.3836, 6.2065, 0.0018], [7.3836, 2.6923, 5.5922]],
  "species": ["Te", "Zn", "Zn", "Zn", "Zn", "Te", "Te", "Zn", "Te", "Te", "Te", "Zn", "Zn"],
  "fractional_positions": [[0.3404, 0.3404, 0.3404], [0.5000, 0.5000, 0.5000], [0.1221, 0.5644, 0.5644], [0.4356, 0.4356, 0.8779], [0.5644, 0.5644, 0.1221], [0.0535, 0.0535, 0.0535], [0.9465, 0.9465, 0.9465], [0.5644, 0.1221, 0.5644], [0.6596, 0.6596, 0.6596], [0.1896, 0.1896, 0.1896], [0.8104, 0.8104, 0.8104], [0.8779, 0.4356, 0.4356], [0.4356, 0.8779, 0.4356]]
}

[27]
{
  "formula": "Zn3Te",
  "functional": "PBE-GGA",
  "state": "optimized geometry",
  "e_tot_ev_per_atom": -1.5890,
  "raw_formation_energy_ev_per_atom": 0.15,
  "magmom_total_mub_per_cell": 0.0,
  "lattice_angstrom": [[6.6495, -0.0126, 0.0000], [4.4229, 4.9652, 0.0000], [-5.5362, -2.4763, 2.7266]],
  "species": ["Zn", "Te", "Zn", "Zn"],
  "fractional_positions": [[0.5000, 0.5000, 0.0000], [0.0000, 0.0000, 0.0000], [0.7500, 0.2500, 0.5000], [0.2500, 0.7500, 0.5000]]
}